[1]
Here is a relaxed Pu2In crystal from the Alexandria database. Energies are from PBE-GGA.

Properties
energy of formation from the pure elements	160	meV/atom
M_tot	3.715	μB per atom
raw total energy	-10.307	eV per atom

a b c (Å): 8.517 8.517 8.517
angles (deg): 90.00 90.00 90.00
Space group Fd-3m (No. 227, origin choice 2)
Unique sites:
Pu 0.000 0.000 0.000 (multiplicity 16)
In 0.125 0.125 0.625 (multiplicity 8)

[2]
Here is a relaxed La2Cu2Ru crystal from the Alexandria database. Energies are from PBE-GGA.

Properties
energy of formation from the pure elements	-12	meV/atom
M_tot	0.000	μB per atom
raw total energy	-5.476	eV per atom
energy above the most stable polymorph in this dataset	164	meV per atom

a b c (Å): 7.125 7.125 4.216
angles (deg): 90.00 90.00 90.00
Space group P4/mbm (No. 127)
Unique sites:
La 0.191 0.309 0.000 (multiplicity 4)
Cu 0.121 0.621 0.500 (multiplicity 4)
Ru 0.000 0.000 0.500 (multiplicity 2)

[3]
Here is a relaxed Pu4TeP3 crystal from the Alexandria database. Energies are from PBE-GGA.

Properties
M_tot	0.042	μB per atom
energy relative to the elements, uncorrected	-1.1031	eV/atom
raw total energy	-10.690	eV per atom

a b c (Å): 4.0539 4.0539 27.5638
angles (deg): 90.00 90.00 120.00
Space group P6_3/mmc (No. 194)
Unique sites:
Pu 0.0000 0.0000 0.1733 (multiplicity 4)
Pu 0.3333 0.6667 0.0575 (multiplicity 4)
Te 0.3333 0.6667 0.2500 (multiplicity 2)
P 0.0000 0.0000 0.0000 (multiplicity 2)
P 0.3333 0.6667 0.6179 (multiplicity 4)